No. 1
Density functional theory data (PBE) for Ac2LaMg after structural relaxation.

Unit cell a=5.3839 b=5.3839 c=5.1892 alpha=90.00 beta=90.00 gamma=90.00
Closest atoms and distances in Å follow each position.
Space group P4/mmm (No. 123)
Symmetry-distinct sites (fractional):
1 Ac 0.0000 0.5000 0.0000  4 Mg 3.74, 4 La 3.74, 4 Ac 3.81
2 La 0.0000 0.0000 0.5000  8 Ac 3.74, 4 Mg 3.81
3 Mg 0.5000 0.5000 0.5000  8 Ac 3.74, 4 La 3.81

Energy of formation from the pure elements (eV per atom): 0.019
Volume (Å³/atom): 37.6
N(E_F) (states/eV/f.u.): 7.19
ΔE to the lowest computed polymorph (eV/atom): 0.047
E_tot (eV per atom): -3.665
Size of the total moment (μB/f.u.): 0.0

---

No. 2
Density functional theory data (PBE) for AcLa5Mg after structural relaxation.

Unit cell a=5.3812 b=5.3812 c=9.2008 alpha=90.00 beta=90.00 gamma=90.00
Closest atoms and distances in Å follow each position.
Space group P4/mmm (No. 123)
Symmetry-distinct sites (fractional):
1 Ac 0.0000 0.0000 0.0000  12 La 3.73-3.81
2 La 0.0000 0.5000 0.2801  2 Mg 3.37, 2 Ac 3.73, 2 La 3.73
3 La 0.5000 0.5000 0.0000  8 La 3.73, 4 Ac 3.81
4 Mg 0.5000 0.5000 0.5000  8 La 3.37

Energy of formation from the pure elements (eV per atom): 0.117
Volume (Å³/atom): 38.1
N(E_F) (states/eV/f.u.): 12.90
E_tot (eV per atom): -4.218
Size of the total moment (μB/f.u.): 0.0

---

No. 3
Density functional theory data (PBE) for AcLa3Mg4 after structural relaxation.

Unit cell a=4.0188 b=5.6499 c=11.2930 alpha=90.00 beta=90.00 gamma=90.00
Closest atoms and distances in Å follow each position.
Space group Pmmm (No. 47)
Symmetry-distinct sites (fractional):
1 Ac 0.0000 0.0000 0.0000  8 Mg 3.47-3.53
2 La 0.0000 0.0000 0.5000  8 Mg 3.41-3.47
3 La 0.0000 0.5000 0.2518  8 Mg 3.45-3.48
4 Mg 0.5000 0.0000 0.2566  6 La 3.41-3.47, 2 Ac 3.53
5 Mg 0.5000 0.5000 0.0000  4 Ac 3.47, 4 La 3.48
6 Mg 0.5000 0.5000 0.5000  8 La 3.45-3.47

Energy of formation from the pure elements (eV per atom): -0.107
Volume (Å³/atom): 32.1
N(E_F) (states/eV/f.u.): 8.54
E_tot (eV per atom): -3.266
Size of the total moment (μB/f.u.): 0.0